# Tb10Sm4Y (GGA-PBE, relaxed)
data_Tb10Sm4Y
_space_group_name_H-M_alt 'I 4/m'
_space_group_IT_number 87
_space_group_name_Hall '-I 4'
_cell_length_a 9.7719
_cell_length_b 9.7719
_cell_length_c 11.5422
_cell_angle_alpha 90.00
_cell_angle_beta 90.00
_cell_angle_gamma 90.00
loop_
_atom_site_label
_atom_site_type_symbol
_atom_site_fract_x
_atom_site_fract_y
_atom_site_fract_z
_atom_site_occupancy
Tb1 Tb 0.0000 0.5000 0.2500 1
Tb2 Tb 0.1181 0.2289 0.1616 1
Sm1 Sm 0.0705 0.3262 0.5000 1
Y1 Y 0.0000 0.0000 0.0000 1
# Formation enthalpy at 0 K, kcal/mol of atoms: 10.0
# Magnetic moment, μB per cell: 0.00
# DFT total energy, eV per atom: -4.34
# Density of states at the Fermi level, states/eV/cell: 46.2